(1)
Density functional theory data (meta-GGA SCAN) for AlP2H5O9 at its PBEsol-relaxed geometry.

Cell lengths 7.706, 9.063, 9.287 Å; angles 90.00, 110.56, 90.00 degrees
Space group P2_1/c (No. 14)
Inequivalent atoms, fractional coordinates:
Al1 0.134 0.218 0.437
P1 0.136 0.622 0.866
P2 0.379 0.097 0.765
H1 0.124 0.091 0.142
H2 0.230 0.628 0.243
H3 0.262 0.033 0.065
H4 0.375 0.703 0.573
H5 0.453 0.648 0.932
O1 0.026 0.651 0.969
O2 0.086 0.724 0.726
O3 0.124 0.041 0.320
O4 0.157 0.103 0.048
O5 0.279 0.198 0.838
O6 0.345 0.663 0.970
O7 0.348 0.570 0.287
O8 0.350 0.137 0.597
O9 0.406 0.610 0.641

The value obtained for the total energy is -544.58 eV for the cell shown. The value obtained for the total magnetic moment is 0.0 μB/f.u.



(2)
Density functional theory data (meta-GGA SCAN) for SrAl3P2H7O14 at its PBEsol-relaxed geometry.

Cell lengths 7.1276, 7.1276, 15.6092 Å; angles 90.00, 90.00, 120.00 degrees
Space group R3m (No. 160, hexagonal axes)
Inequivalent atoms, fractional coordinates:
Sr1 0.0000 0.0000 0.0000
Al1 0.0029 0.5014 0.4998
P1 0.0000 0.0000 0.3117
P2 0.0000 0.0000 0.6850
H1 0.0000 0.0000 0.4792
H2 0.0621 0.5310 0.2245
H3 0.1901 0.3802 0.1043
O1 0.0000 0.0000 0.4136
O2 0.0000 0.0000 0.5851
O3 0.0895 0.5447 0.8034
O4 0.0965 0.5483 0.3845
O5 0.2093 0.4187 0.5314
O6 0.2147 0.4294 0.9502

The value obtained for the total energy is -721.57 eV for the cell shown. The value obtained for the total magnetic moment is 0.0 μB/f.u.



(3)
Density functional theory data (meta-GGA SCAN) for AlH11SO10 at its PBEsol-relaxed geometry.

Cell lengths 8.097, 12.465, 10.394 Å; angles 90.00, 128.82, 90.00 degrees
Space group P2_1/c (No. 14)
Inequivalent atoms, fractional coordinates:
Al1 0.036 0.012 0.381
H1 0.012 0.153 0.188
H2 0.019 0.667 0.985
H3 0.090 0.122 0.855
H4 0.168 0.599 0.751
H5 0.176 0.197 0.380
H6 0.318 0.571 0.399
H7 0.360 0.027 0.819
H8 0.372 0.201 0.097
H9 0.382 0.590 0.100
H10 0.393 0.181 0.955
H11 0.442 0.037 0.611
S1 0.354 0.689 0.639
O1 0.037 0.579 0.736
O2 0.039 0.094 0.535
O3 0.095 0.132 0.307
O4 0.127 0.707 0.500
O5 0.261 0.533 0.293
O6 0.288 0.198 0.974
O7 0.334 0.520 0.039
O8 0.380 0.628 0.773
O9 0.451 0.624 0.578
O10 0.469 0.707 0.203

The value obtained for the total energy is -602.17 eV for the cell shown. The value obtained for the total magnetic moment is 0.1 μB/f.u.



(4)
Density functional theory data (meta-GGA SCAN) for AlZn2SbH12O12 at its PBEsol-relaxed geometry.

Cell lengths 5.3561, 5.3561, 9.7140 Å; angles 90.00, 90.00, 120.00 degrees
Space group P-3 (No. 147)
Inequivalent atoms, fractional coordinates:
Al1 0.0000 0.0000 0.0000
Zn1 0.3333 0.6667 0.0106
Sb1 0.0000 0.0000 0.5000
H1 0.0373 0.7235 0.7965
H2 0.1206 0.4700 0.6137
O1 0.0057 0.6979 0.8974
O2 0.1332 0.7887 0.6203

The value obtained for the total energy is -227.87 eV for the cell shown. The value obtained for the total magnetic moment is 0.0 μB/f.u.



(5)
Density functional theory data (meta-GGA SCAN) for AlH4Se2O8 at its PBEsol-relaxed geometry.

Cell lengths 7.080, 6.448, 9.022 Å; angles 90.00, 126.40, 90.00 degrees
Space group P2_1/c (No. 14)
Inequivalent atoms, fractional coordinates:
Al1 0.000 0.000 0.000
H1 0.322 0.227 0.045
H2 0.330 0.242 0.231
Se1 0.252 0.690 0.894
O1 0.092 0.589 0.353
O2 0.224 0.222 0.093
O3 0.229 0.673 0.696
O4 0.462 0.243 0.953

The value obtained for the total energy is -261.51 eV for the cell shown. The value obtained for the total magnetic moment is 1.0 μB/f.u.



(6)
Density functional theory data (meta-GGA SCAN) for AlH5Se2O8 at its PBEsol-relaxed geometry.

Cell lengths 7.295, 6.588, 8.760 Å; angles 90.00, 126.79, 90.00 degrees
Space group P2_1/c (No. 14)
Inequivalent atoms, fractional coordinates:
Al1 0.000 0.000 0.000
H1 0.316 0.240 0.590
H2 0.319 0.217 0.275
H3 0.500 0.000 0.500
Se1 0.253 0.699 0.345
O1 0.077 0.596 0.733
O2 0.219 0.220 0.132
O3 0.230 0.664 0.526
O4 0.477 0.180 0.517

The value obtained for the total energy is -273.54 eV for the cell shown. The value obtained for the total magnetic moment is 0.0 μB/f.u.